First-principles (GGA-PBE) data for crystalline Tb2NdAg2 at its relaxed geometry, as listed in the Alexandria database.

Cell lengths 13.717, 13.717, 5.350 Å; angles 90.00, 90.00, 164.59 degrees
Positions (direct):
Tb (0.048, 0.952, 0.750)
Tb (0.235, 0.765, 0.750)
Tb (0.765, 0.235, 0.250)
Tb (0.952, 0.048, 0.250)
Nd (0.145, 0.855, 0.250)
Nd (0.855, 0.145, 0.750)
Ag (0.358, 0.642, 0.250)
Ag (0.456, 0.544, 0.750)
Ag (0.544, 0.456, 0.250)
Ag (0.642, 0.358, 0.750)

Properties
For the total magnetization, the calculation gives 0.00 μB/cell. Its uncorrected energy is -4.1634 eV per atom. The value obtained for the formation energy is -0.217 eV per atom. The energy relative to the lowest polymorph listed for this composition comes out at 0.0 kJ per mole of atoms. Its symmetry is Cmcm (63).


First-principles (GGA-PBE) data for crystalline LiBi6Pb12 at its relaxed geometry, as listed in the Alexandria database.

Cell lengths 8.625, 8.625, 8.625 Å; angles 76.21, 76.21, 76.21 degrees
Positions (direct):
Li (0.000, 0.000, 0.000)
Bi (0.139, 0.777, 0.777)
Bi (0.223, 0.223, 0.861)
Bi (0.223, 0.861, 0.223)
Bi (0.777, 0.139, 0.777)
Bi (0.777, 0.777, 0.139)
Bi (0.861, 0.223, 0.223)
Pb (0.133, 0.133, 0.487)
Pb (0.133, 0.487, 0.133)
Pb (0.191, 0.522, 0.522)
Pb (0.478, 0.478, 0.809)
Pb (0.478, 0.809, 0.478)
Pb (0.487, 0.133, 0.133)
Pb (0.513, 0.867, 0.867)
Pb (0.522, 0.191, 0.522)
Pb (0.522, 0.522, 0.191)
Pb (0.809, 0.478, 0.478)
Pb (0.867, 0.513, 0.867)
Pb (0.867, 0.867, 0.513)

Properties
For the total magnetization, the calculation gives 0.00 μB/cell. Its uncorrected energy is -3.6596 eV per atom. The value obtained for the formation energy is 0.009 eV per atom. The energy relative to the lowest polymorph listed for this composition comes out at 0.0 kJ per mole of atoms. Its symmetry is R-3m (166).


First-principles (GGA-PBE) data for crystalline RePbO2F at its relaxed geometry, as listed in the Alexandria database.

Cell lengths 3.784, 3.784, 5.856 Å; angles 90.00, 90.00, 90.00 degrees
Positions (direct):
Re (0.000, 0.000, 0.000)
Pb (0.500, 0.500, 0.500)
O (0.000, 0.500, 0.000)
O (0.500, 0.000, 0.000)
F (0.000, 0.000, 0.500)

Properties
For the total magnetization, the calculation gives 0.00 μB/cell. Its uncorrected energy is -6.7342 eV per atom. The formation energy from raw total energies is -1145 meV/atom. Its symmetry is P4/mmm (123).


The lowest uncorrected energy belongs to which entry?
RePbO2F


uncorrected energy of number 3 (RePbO2F)?
-6.7342 eV per atom


Among the records above, which one has the highest uncorrected energy?
LiBi6Pb12


Which formula does entry 1 have?
Tb2NdAg2